1.
# ZnP2Au, relaxed, DFT PBE
data_ZnP2Au
_chemical_formula_sum 'Zn1 P2 Au1'
_space_group_name_H-M_alt 'P 1'
_space_group_IT_number 1
_cell_length_a 3.606
_cell_length_b 3.606
_cell_length_c 5.239
_cell_angle_alpha 90.00
_cell_angle_beta 90.00
_cell_angle_gamma 90.00
loop_
_space_group_symop_operation_xyz
'x,y,z'
loop_
_atom_site_label
_atom_site_type_symbol
_atom_site_fract_x
_atom_site_fract_y
_atom_site_fract_z
Au1 Au 0.500 0.500 0.750
P1 P 0.000 0.000 0.045
P2 P 0.000 0.000 0.455
Zn1 Zn 0.500 0.500 0.250
# crystal system = tetragonal
# E = -3.55 eV per atom


2.
# Zn2PAu, relaxed, DFT PBE
data_Zn2PAu
_chemical_formula_sum 'Zn2 P1 Au1'
_space_group_name_H-M_alt 'P 1'
_space_group_IT_number 1
_cell_length_a 2.779
_cell_length_b 2.779
_cell_length_c 8.474
_cell_angle_alpha 90.00
_cell_angle_beta 90.00
_cell_angle_gamma 90.00
loop_
_space_group_symop_operation_xyz
'x,y,z'
loop_
_atom_site_label
_atom_site_type_symbol
_atom_site_fract_x
_atom_site_fract_y
_atom_site_fract_z
Zn1 Zn 0.000 0.000 0.006
Zn2 Zn 0.500 0.500 0.238
P1 P 0.500 0.500 0.780
Au1 Au 0.000 0.000 0.476
# crystal system = tetragonal
# E = -2.61 eV per atom


3.
# Zn2PAu2, relaxed, DFT PBE
data_Zn2PAu2
_chemical_formula_sum 'Zn4 P2 Au4'
_space_group_name_H-M_alt 'P 1'
_space_group_IT_number 1
_cell_length_a 7.606
_cell_length_b 7.606
_cell_length_c 2.937
_cell_angle_alpha 90.00
_cell_angle_beta 90.00
_cell_angle_gamma 90.00
loop_
_space_group_symop_operation_xyz
'x,y,z'
loop_
_atom_site_label
_atom_site_type_symbol
_atom_site_fract_x
_atom_site_fract_y
_atom_site_fract_z
P1 P 0.000 0.000 0.000
P2 P 0.500 0.500 0.000
Zn1 Zn 0.125 0.625 0.500
Zn2 Zn 0.625 0.875 0.500
Zn3 Zn 0.875 0.375 0.500
Zn4 Zn 0.375 0.125 0.500
Au1 Au 0.325 0.825 0.000
Au2 Au 0.825 0.675 0.000
Au3 Au 0.675 0.175 0.000
Au4 Au 0.175 0.325 0.000
# crystal system = tetragonal
# relative energy among the computed polymorphs = 0 meV per atom


4.
# ZnPAu, relaxed, DFT PBE
data_ZnPAu
_chemical_formula_sum 'Zn1 P1 Au1'
_space_group_name_H-M_alt 'P 1'
_space_group_IT_number 1
_cell_length_a 4.683
_cell_length_b 4.683
_cell_length_c 2.708
_cell_angle_alpha 90.00
_cell_angle_beta 90.00
_cell_angle_gamma 120.00
loop_
_space_group_symop_operation_xyz
'x,y,z'
loop_
_atom_site_label
_atom_site_type_symbol
_atom_site_fract_x
_atom_site_fract_y
_atom_site_fract_z
Zn1 Zn 0.333 0.667 0.334
P1 P 0.667 0.333 0.333
Au1 Au 0.000 0.000 0.333
# crystal system = hexagonal
# E = -3.12 eV per atom


5.
# ZnP2Au, relaxed, DFT PBE
data_ZnP2Au
_chemical_formula_sum 'Zn1 P2 Au1'
_space_group_name_H-M_alt 'P 1'
_space_group_IT_number 1
_cell_length_a 3.104
_cell_length_b 3.104
_cell_length_c 7.276
_cell_angle_alpha 90.00
_cell_angle_beta 90.00
_cell_angle_gamma 90.00
loop_
_space_group_symop_operation_xyz
'x,y,z'
loop_
_atom_site_label
_atom_site_type_symbol
_atom_site_fract_x
_atom_site_fract_y
_atom_site_fract_z
Au1 Au 0.500 0.500 0.727
P1 P 0.000 0.000 0.185
P2 P 0.500 0.500 0.072
Zn1 Zn 0.000 0.000 0.515
# crystal system = tetragonal
# E = -3.85 eV per atom


6.
# ZnP2Au, relaxed, DFT PBE
data_ZnP2Au
_chemical_formula_sum 'Zn1 P2 Au1'
_space_group_name_H-M_alt 'P 1'
_space_group_IT_number 1
_cell_length_a 6.254
_cell_length_b 6.254
_cell_length_c 6.254
_cell_angle_alpha 149.99
_cell_angle_beta 145.17
_cell_angle_gamma 46.62
loop_
_space_group_symop_operation_xyz
'x,y,z'
loop_
_atom_site_label
_atom_site_type_symbol
_atom_site_fract_x
_atom_site_fract_y
_atom_site_fract_z
Au1 Au 0.204 0.704 0.500
P1 P 0.950 0.950 0.000
P2 P 0.809 0.309 0.500
Zn1 Zn 0.537 0.537 0.000
# crystal system = orthorhombic
# E = -3.62 eV per atom


7.
# Zn2PAu, relaxed, DFT PBE
data_Zn2PAu
_chemical_formula_sum 'Zn2 P1 Au1'
_space_group_name_H-M_alt 'P 1'
_space_group_IT_number 1
_cell_length_a 2.747
_cell_length_b 3.517
_cell_length_c 7.001
_cell_angle_alpha 90.00
_cell_angle_beta 90.00
_cell_angle_gamma 90.00
loop_
_space_group_symop_operation_xyz
'x,y,z'
loop_
_atom_site_label
_atom_site_type_symbol
_atom_site_fract_x
_atom_site_fract_y
_atom_site_fract_z
Zn1 Zn 0.000 0.000 0.754
Zn2 Zn 0.000 0.000 0.246
P1 P 0.000 0.500 0.500
Au1 Au 0.500 0.500 0.000
# crystal system = orthorhombic
# E = -2.75 eV per atom


8.
# Zn2PAu, relaxed, DFT PBE
data_Zn2PAu
_chemical_formula_sum 'Zn2 P1 Au1'
_space_group_name_H-M_alt 'P 1'
_space_group_IT_number 1
_cell_length_a 4.534
_cell_length_b 4.534
_cell_length_c 4.534
_cell_angle_alpha 60.00
_cell_angle_beta 60.00
_cell_angle_gamma 60.00
loop_
_space_group_symop_operation_xyz
'x,y,z'
loop_
_atom_site_label
_atom_site_type_symbol
_atom_site_fract_x
_atom_site_fract_y
_atom_site_fract_z
Zn1 Zn 0.000 0.000 0.000
Zn2 Zn 0.250 0.250 0.250
P1 P 0.750 0.750 0.750
Au1 Au 0.500 0.500 0.500
# crystal system = cubic
# E = -2.58 eV per atom


9.
# ZnP2Au, relaxed, DFT PBE
data_ZnP2Au
_chemical_formula_sum 'Zn1 P2 Au1'
_space_group_name_H-M_alt 'P 1'
_space_group_IT_number 1
_cell_length_a 2.753
_cell_length_b 2.753
_cell_length_c 8.835
_cell_angle_alpha 90.00
_cell_angle_beta 90.00
_cell_angle_gamma 100.81
loop_
_space_group_symop_operation_xyz
'x,y,z'
loop_
_atom_site_label
_atom_site_type_symbol
_atom_site_fract_x
_atom_site_fract_y
_atom_site_fract_z
Au1 Au 0.500 0.500 0.750
P1 P 0.000 0.000 0.026
P2 P 0.000 0.000 0.474
Zn1 Zn 0.500 0.500 0.250
# crystal system = orthorhombic
# E = -3.38 eV per atom


10.
# Zn2PAu, relaxed, DFT PBE
data_Zn2PAu
_chemical_formula_sum 'Zn2 P1 Au1'
_space_group_name_H-M_alt 'P 1'
_space_group_IT_number 1
_cell_length_a 4.818
_cell_length_b 4.818
_cell_length_c 2.879
_cell_angle_alpha 90.00
_cell_angle_beta 90.00
_cell_angle_gamma 107.99
loop_
_space_group_symop_operation_xyz
'x,y,z'
loop_
_atom_site_label
_atom_site_type_symbol
_atom_site_fract_x
_atom_site_fract_y
_atom_site_fract_z
Zn1 Zn 0.500 0.000 0.000
Zn2 Zn 0.000 0.500 0.000
P1 P 0.500 0.500 0.500
Au1 Au 0.000 0.000 0.500
# crystal system = orthorhombic
# E = -2.72 eV per atom


11.
# ZnP2Au, relaxed, DFT PBE
data_ZnP2Au
_chemical_formula_sum 'Zn1 P2 Au1'
_space_group_name_H-M_alt 'P 1'
_space_group_IT_number 1
_cell_length_a 3.332
_cell_length_b 3.332
_cell_length_c 7.255
_cell_angle_alpha 75.85
_cell_angle_beta 75.85
_cell_angle_gamma 59.97
loop_
_space_group_symop_operation_xyz
'x,y,z'
loop_
_atom_site_label
_atom_site_type_symbol
_atom_site_fract_x
_atom_site_fract_y
_atom_site_fract_z
Au1 Au 0.253 0.253 0.245
P1 P 0.010 0.010 0.965
P2 P 0.744 0.744 0.778
Zn1 Zn 0.493 0.493 0.512
# crystal system = monoclinic
# E = -3.79 eV per atom


12.
# ZnP2Au, relaxed, DFT PBE
data_ZnP2Au
_chemical_formula_sum 'Zn1 P2 Au1'
_space_group_name_H-M_alt 'P 1'
_space_group_IT_number 1
_cell_length_a 3.656
_cell_length_b 3.662
_cell_length_c 5.113
_cell_angle_alpha 90.00
_cell_angle_beta 90.00
_cell_angle_gamma 90.00
loop_
_space_group_symop_operation_xyz
'x,y,z'
loop_
_atom_site_label
_atom_site_type_symbol
_atom_site_fract_x
_atom_site_fract_y
_atom_site_fract_z
Au1 Au 0.500 0.500 0.875
P1 P 0.000 0.000 0.875
P2 P 0.500 0.500 0.375
Zn1 Zn 0.000 0.000 0.375
# crystal system = tetragonal
# E = -3.65 eV per atom